A relaxed structure of Cu2TeF. Source: Alexandria via LeMat-Bulk, functional PBE-GGA.

The space group is I-42d (No. 122) and the conventional cell measures 4.992, 4.992 and 12.062 Å, with angles of 90.00, 90.00 and 90.00 degrees. The distinct sites, in fractional coordinates, are Cu at (0.179, 0.250, 0.125), Te at (0.000, 0.000, 0.500) and F at (0.000, 0.000, 0.000).

For the density of states at the Fermi level, the calculation gives 0.6378 states/eV/atom. As for the total DFT energy (no corrections): -3.74 eV/atom. The value obtained for the energy above the most stable polymorph in this dataset is 70 meV/atom. The density comes out at 6.048 g/cm³.